(1)
# PBE TbSm3Tm6, relaxed
data_TbSm3Tm6
_chemical_formula_sum 'Tb1 Sm3 Tm6'
_space_group_name_H-M_alt 'P -1'
_space_group_IT_number 2
_space_group_name_Hall '-P 1'
_cell_length_a 6.469
_cell_length_b 6.482
_cell_length_c 9.442
_cell_angle_alpha 90.05
_cell_angle_beta 109.55
_cell_angle_gamma 119.70
loop_
_atom_site_label
_atom_site_type_symbol
_atom_site_fract_x
_atom_site_fract_y
_atom_site_fract_z
Tb1 Tb 0.000 0.000 0.000
Sm1 Sm 0.000 0.500 0.500
Sm2 Sm 0.301 0.942 0.809
Tm1 Tm 0.127 0.633 0.187
Tm2 Tm 0.305 0.151 0.449
Tm3 Tm 0.447 0.508 0.813
# **Relative energy among the computed polymorphs**: 2.08 kJ per mole of atoms
# **Density of states at the Fermi level**: 11.619 states/eV/cell
# **ΔH_f (0 K)**: 172 meV/atom

(2)
# PBE Tb4Sm2Tm, relaxed
data_Tb4Sm2Tm
_chemical_formula_sum 'Tb8 Sm4 Tm2'
_space_group_name_H-M_alt 'P 1 21/m 1'
_space_group_IT_number 11
_space_group_name_Hall '-P 2yb'
_cell_length_a 6.114
_cell_length_b 6.602
_cell_length_c 11.558
_cell_angle_alpha 90.00
_cell_angle_beta 103.88
_cell_angle_gamma 90.00
loop_
_atom_site_label
_atom_site_type_symbol
_atom_site_fract_x
_atom_site_fract_y
_atom_site_fract_z
Tb1 Tb 0.029 0.250 0.359
Tb2 Tb 0.151 0.250 0.947
Tb3 Tb 0.349 0.508 0.213
Sm1 Sm 0.287 0.750 0.925
Sm2 Sm 0.397 0.750 0.507
Tm1 Tm 0.146 0.250 0.660
# **Density of states at the Fermi level**: 23.093 states/eV/cell
# **ΔH_f (0 K)**: 134 meV/atom

(3)
# PBE TbSm3Tm7, relaxed
data_TbSm3Tm7
_chemical_formula_sum 'Tb1 Sm3 Tm7'
_space_group_name_H-M_alt 'P 3 m 1'
_space_group_IT_number 156
_space_group_name_Hall 'P 3 -2"'
_cell_length_a 6.9920
_cell_length_b 6.9920
_cell_length_c 8.5824
_cell_angle_alpha 90.00
_cell_angle_beta 90.00
_cell_angle_gamma 120.00
loop_
_atom_site_label
_atom_site_type_symbol
_atom_site_fract_x
_atom_site_fract_y
_atom_site_fract_z
Tb1 Tb 0.0000 0.0000 0.0000
Sm1 Sm 0.1668 0.3336 0.6619
Tm1 Tm 0.0016 0.5008 0.0006
Tm2 Tm 0.3320 0.1660 0.3250
Tm3 Tm 0.3333 0.6667 0.3244
# **Relative energy among the computed polymorphs**: 2.40 kJ per mole of atoms
# **Density of states at the Fermi level**: 16.738 states/eV/cell
# **ΔH_f (0 K)**: 185 meV/atom

(4)
# PBE Tb2Sm5Tm6, relaxed
data_Tb2Sm5Tm6
_chemical_formula_sum 'Tb4 Sm10 Tm12'
_space_group_name_H-M_alt 'P b a m'
_space_group_IT_number 55
_space_group_name_Hall '-P 2 2ab'
_cell_length_a 11.575
_cell_length_b 20.328
_cell_length_c 3.563
_cell_angle_alpha 90.00
_cell_angle_beta 90.00
_cell_angle_gamma 90.00
loop_
_atom_site_label
_atom_site_type_symbol
_atom_site_fract_x
_atom_site_fract_y
_atom_site_fract_z
Tb1 Tb 0.172 0.211 0.000
Sm1 Sm 0.000 0.500 0.500
Sm2 Sm 0.084 0.773 0.500
Sm3 Sm 0.199 0.049 0.500
Tm1 Tm 0.060 0.919 0.000
Tm2 Tm 0.080 0.631 0.000
Tm3 Tm 0.176 0.363 0.500
# **Density of states at the Fermi level**: 31.210 states/eV/cell
# **ΔH_f (0 K)**: 97 meV/atom